Compound: ErTlHgS3
Source: OQMD
Functional: PBE-GGA
Structure: optimized geometry

Structure (CIF):
```
data_ErTlHgS3
_chemical_formula_sum 'Er2 Tl2 Hg2 S6'
_space_group_name_H-M_alt 'P 1'
_space_group_IT_number 1
_cell_length_a 7.8480
_cell_length_b 7.8480
_cell_length_c 10.6737
_cell_angle_alpha 90.00
_cell_angle_beta 90.00
_cell_angle_gamma 30.15
loop_
_space_group_symop_operation_xyz
'x,y,z'
loop_
_atom_site_label
_atom_site_type_symbol
_atom_site_fract_x
_atom_site_fract_y
_atom_site_fract_z
Er1 Er 0.0000 0.0000 0.0000
Er2 Er 0.0000 0.0000 0.5000
Hg1 Hg 0.4013 0.4013 0.2500
Hg2 Hg 0.5987 0.5987 0.7500
S1 S 0.3788 0.3788 0.0275
S2 S 0.0450 0.0450 0.2500
S3 S 0.3788 0.3788 0.4725
S4 S 0.6212 0.6212 0.5275
S5 S 0.9550 0.9550 0.7500
S6 S 0.6212 0.6212 0.9725
Tl1 Tl 0.6923 0.6923 0.2500
Tl2 Tl 0.3077 0.3077 0.7500
```

## Properties
M_tot: 0.013 μB/cell
Crystal system: orthorhombic
Total DFT energy (no corrections): -4.26 eV/atom

---

Compound: KNbW
Source: OQMD
Functional: PBE-GGA
Structure: optimized geometry

Structure (CIF):
```
data_KNbW
_chemical_formula_sum 'K1 Nb1 W1'
_space_group_name_H-M_alt 'P 1'
_space_group_IT_number 1
_cell_length_a 4.6739
_cell_length_b 4.6739
_cell_length_c 4.6739
_cell_angle_alpha 60.00
_cell_angle_beta 60.00
_cell_angle_gamma 60.00
loop_
_space_group_symop_operation_xyz
'x,y,z'
loop_
_atom_site_label
_atom_site_type_symbol
_atom_site_fract_x
_atom_site_fract_y
_atom_site_fract_z
K1 K 0.2500 0.2500 0.2500
Nb1 Nb 0.7500 0.7500 0.7500
W1 W 0.0000 0.0000 0.0000
```

## Properties
M_tot: 0.012 μB/cell
Crystal system: cubic
Total DFT energy (no corrections): -5.84 eV/atom